Record 1
# PrY4Ho3, optimized geometry, DFT GGA-PBE
data_PrY4Ho3
_chemical_formula_sum 'Pr1 Y4 Ho3'
_symmetry_space_group_name_H-M 'P 1 2/m 1'
_symmetry_Int_Tables_number 10
_cell_length_a 3.578
_cell_length_b 10.084
_cell_length_c 7.136
_cell_angle_alpha 90.00
_cell_angle_beta 90.06
_cell_angle_gamma 90.00
loop_
_symmetry_equiv_pos_as_xyz
'x,y,z'
'-x,-y,-z'
'-x,y,-z'
'x,-y,z'
loop_
_atom_site_label
_atom_site_type_symbol
_atom_site_fract_x
_atom_site_fract_y
_atom_site_fract_z
_atom_site_occupancy
Pr1 Pr 0.000 0.000 0.000 1
Y1 Y 0.500 0.253 0.252 1
Ho1 Ho 0.000 0.000 0.500 1
Ho2 Ho 0.000 0.500 0.000 1
Ho3 Ho 0.000 0.500 0.500 1
# - offset from the most stable computed form (eV/atom) = 0.017
# - total energy (eV for the cell shown) = -44.18
# - energy of formation (meV/atom) = 24.2

Record 2
# HgAu2Cl, optimized geometry, DFT GGA-PBE
data_HgAu2Cl
_chemical_formula_sum 'Hg2 Au4 Cl2'
_symmetry_space_group_name_H-M 'C 1 m 1'
_symmetry_Int_Tables_number 8
_cell_length_a 9.874
_cell_length_b 3.422
_cell_length_c 7.517
_cell_angle_alpha 90.00
_cell_angle_beta 125.09
_cell_angle_gamma 90.00
loop_
_symmetry_equiv_pos_as_xyz
'x,y,z'
'x,-y,z'
'x+1/2,y+1/2,z'
'x+1/2,-y+1/2,z'
loop_
_atom_site_label
_atom_site_type_symbol
_atom_site_fract_x
_atom_site_fract_y
_atom_site_fract_z
_atom_site_occupancy
Hg1 Hg 0.000 0.000 0.000 1
Au1 Au 0.240 0.000 0.889 1
Au2 Au 0.482 0.000 0.655 1
Cl1 Cl 0.265 0.500 0.377 1
# - offset from the most stable computed form (eV/atom) = 0.047
# - energy relative to the elements, uncorrected (eV per atom) = 0.013
# - total energy (eV for the cell shown) = -17.30

Record 3
# Cs3Au5Br12, optimized geometry, DFT GGA-PBE
data_Cs3Au5Br12
_chemical_formula_sum 'Cs24 Au40 Br96'
_symmetry_space_group_name_H-M 'I a -3 d'
_symmetry_Int_Tables_number 230
_symmetry_space_group_name_Hall '-I 4bd 2c 3'
_cell_length_a 18.032
_cell_length_b 18.032
_cell_length_c 18.032
_cell_angle_alpha 90.00
_cell_angle_beta 90.00
_cell_angle_gamma 90.00
loop_
_atom_site_label
_atom_site_type_symbol
_atom_site_fract_x
_atom_site_fract_y
_atom_site_fract_z
_atom_site_occupancy
Cs1 Cs 0.000 0.250 0.125 1
Au1 Au 0.000 0.000 0.000 1
Au2 Au 0.000 0.250 0.375 1
Br1 Br 0.036 0.042 0.641 1
# - energy relative to the elements, uncorrected (eV per atom) = -0.548
# - total energy (eV for the cell shown) = -399.78

Record 4
# Co2WSe, optimized geometry, DFT GGA-PBE
data_Co2WSe
_chemical_formula_sum 'Co4 W2 Se2'
_symmetry_space_group_name_H-M 'I m m m'
_symmetry_Int_Tables_number 71
_symmetry_space_group_name_Hall '-I 2 2'
_cell_length_a 2.989
_cell_length_b 4.234
_cell_length_c 8.273
_cell_angle_alpha 90.00
_cell_angle_beta 90.00
_cell_angle_gamma 90.00
loop_
_atom_site_label
_atom_site_type_symbol
_atom_site_fract_x
_atom_site_fract_y
_atom_site_fract_z
_atom_site_occupancy
Co1 Co 0.000 0.000 0.231 1
W1 W 0.000 0.500 0.000 1
Se1 Se 0.000 0.500 0.500 1
# - energy relative to the elements, uncorrected (eV per atom) = 0.353
# - total energy (eV for the cell shown) = -58.48

Record 5
# GaCu2Ni9, optimized geometry, DFT GGA-PBE
data_GaCu2Ni9
_chemical_formula_sum 'Ga1 Cu2 Ni9'
_symmetry_space_group_name_H-M 'P 4/m m m'
_symmetry_Int_Tables_number 123
_symmetry_space_group_name_Hall '-P 4 2'
_cell_length_a 3.559
_cell_length_b 3.559
_cell_length_c 10.633
_cell_angle_alpha 90.00
_cell_angle_beta 90.00
_cell_angle_gamma 90.00
loop_
_atom_site_label
_atom_site_type_symbol
_atom_site_fract_x
_atom_site_fract_y
_atom_site_fract_z
_atom_site_occupancy
Ga1 Ga 0.000 0.000 0.000 1
Cu1 Cu 0.000 0.000 0.335 1
Ni1 Ni 0.000 0.500 0.169 1
Ni2 Ni 0.000 0.500 0.500 1
Ni3 Ni 0.500 0.500 0.000 1
Ni4 Ni 0.500 0.500 0.334 1
# - total energy (eV for the cell shown) = -64.05
# - energy of formation (meV/atom) = -66.9

Record 6
# CsGe2Te2, optimized geometry, DFT GGA-PBE
data_CsGe2Te2
_chemical_formula_sum 'Cs2 Ge4 Te4'
_symmetry_space_group_name_H-M 'I 4/m m m'
_symmetry_Int_Tables_number 139
_symmetry_space_group_name_Hall '-I 4 2'
_cell_length_a 5.573
_cell_length_b 5.573
_cell_length_c 10.820
_cell_angle_alpha 90.00
_cell_angle_beta 90.00
_cell_angle_gamma 90.00
loop_
_atom_site_label
_atom_site_type_symbol
_atom_site_fract_x
_atom_site_fract_y
_atom_site_fract_z
_atom_site_occupancy
Cs1 Cs 0.000 0.000 0.000 1
Ge1 Ge 0.000 0.000 0.353 1
Te1 Te 0.000 0.500 0.250 1
# - offset from the most stable computed form (eV/atom) = 0.000
# - energy relative to the elements, uncorrected (eV per atom) = -0.271
# - total energy (eV for the cell shown) = -35.45

Record 7
# Co3BiB, optimized geometry, DFT GGA-PBE
data_Co3BiB
_chemical_formula_sum 'Co3 Bi1 B1'
_symmetry_space_group_name_H-M 'P m -3 m'
_symmetry_Int_Tables_number 221
_symmetry_space_group_name_Hall '-P 4 2 3'
_cell_length_a 3.975
_cell_length_b 3.975
_cell_length_c 3.975
_cell_angle_alpha 90.00
_cell_angle_beta 90.00
_cell_angle_gamma 90.00
loop_
_atom_site_label
_atom_site_type_symbol
_atom_site_fract_x
_atom_site_fract_y
_atom_site_fract_z
_atom_site_occupancy
Co1 Co 0.000 0.000 0.500 1
Bi1 Bi 0.500 0.500 0.500 1
B1 B 0.000 0.000 0.000 1
# - offset from the most stable computed form (eV/atom) = 0.000
# - total energy (eV for the cell shown) = -31.09
# - energy of formation (meV/atom) = 157.9

Record 8
# PmAl2Ru, optimized geometry, DFT GGA-PBE
data_PmAl2Ru
_chemical_formula_sum 'Pm4 Al8 Ru4'
_symmetry_space_group_name_H-M 'F m -3 m'
_symmetry_Int_Tables_number 225
_symmetry_space_group_name_Hall '-F 4 2 3'
_cell_length_a 6.626
_cell_length_b 6.626
_cell_length_c 6.626
_cell_angle_alpha 90.00
_cell_angle_beta 90.00
_cell_angle_gamma 90.00
loop_
_atom_site_label
_atom_site_type_symbol
_atom_site_fract_x
_atom_site_fract_y
_atom_site_fract_z
_atom_site_occupancy
Pm1 Pm 0.000 0.000 0.000 1
Al1 Al 0.250 0.250 0.250 1
Ru1 Ru 0.000 0.000 0.500 1
# - offset from the most stable computed form (eV/atom) = 0.263
# - total energy (eV for the cell shown) = -90.65
# - energy of formation (meV/atom) = -288.0

Record 9
# YPu2Pb3, optimized geometry, DFT GGA-PBE
data_YPu2Pb3
_chemical_formula_sum 'Y1 Pu2 Pb3'
_symmetry_space_group_name_H-M 'P 4/m m m'
_symmetry_Int_Tables_number 123
_symmetry_space_group_name_Hall '-P 4 2'
_cell_length_a 3.486
_cell_length_b 3.486
_cell_length_c 13.839
_cell_angle_alpha 90.00
_cell_angle_beta 90.00
_cell_angle_gamma 90.00
loop_
_atom_site_label
_atom_site_type_symbol
_atom_site_fract_x
_atom_site_fract_y
_atom_site_fract_z
_atom_site_occupancy
Y1 Y 0.000 0.000 0.000 1
Pu1 Pu 0.000 0.000 0.332 1
Pb1 Pb 0.500 0.500 0.164 1
Pb2 Pb 0.500 0.500 0.500 1
# - total energy (eV for the cell shown) = -47.88
# - energy of formation (meV/atom) = -270.4

Record 10
# Li6Ac3Ag5, optimized geometry, DFT GGA-PBE
data_Li6Ac3Ag5
_chemical_formula_sum 'Li12 Ac6 Ag10'
_symmetry_space_group_name_H-M 'P m m n'
_symmetry_Int_Tables_number 59
_cell_length_a 4.507
_cell_length_b 13.811
_cell_length_c 10.556
_cell_angle_alpha 90.00
_cell_angle_beta 90.00
_cell_angle_gamma 90.00
loop_
_symmetry_equiv_pos_as_xyz
'x,y,z'
'-x,-y,-z'
'-x+1/2,-y+1/2,z'
'x+1/2,y+1/2,-z'
'x+1/2,-y,-z'
'-x+1/2,y,z'
'-x,y+1/2,-z'
'x,-y+1/2,z'
loop_
_atom_site_label
_atom_site_type_symbol
_atom_site_fract_x
_atom_site_fract_y
_atom_site_fract_z
_atom_site_occupancy
Li1 Li 0.250 0.068 0.076 1
Li2 Li 0.250 0.250 0.534 1
Li3 Li 0.250 0.250 0.935 1
Li4 Li 0.250 0.605 0.484 1
Ac1 Ac 0.250 0.053 0.749 1
Ac2 Ac 0.250 0.750 0.769 1
Ag1 Ag 0.250 0.096 0.366 1
Ag2 Ag 0.250 0.637 0.043 1
Ag3 Ag 0.250 0.750 0.283 1
# - total energy (eV for the cell shown) = -81.02
# - energy of formation (meV/atom) = -174.5

Record 11
# SrZn2AgAu5, optimized geometry, DFT GGA-PBE
data_SrZn2AgAu5
_chemical_formula_sum 'Sr1 Zn2 Ag1 Au5'
_symmetry_space_group_name_H-M 'P 4/m m m'
_symmetry_Int_Tables_number 123
_symmetry_space_group_name_Hall '-P 4 2'
_cell_length_a 5.008
_cell_length_b 5.008
_cell_length_c 7.539
_cell_angle_alpha 90.00
_cell_angle_beta 90.00
_cell_angle_gamma 90.00
loop_
_atom_site_label
_atom_site_type_symbol
_atom_site_fract_x
_atom_site_fract_y
_atom_site_fract_z
_atom_site_occupancy
Sr1 Sr 0.000 0.000 0.000 1
Zn1 Zn 0.500 0.500 0.338 1
Ag1 Ag 0.000 0.000 0.500 1
Au1 Au 0.000 0.500 0.290 1
Au2 Au 0.500 0.500 0.000 1
# - total energy (eV for the cell shown) = -25.25
# - energy of formation (meV/atom) = -197.8

Record 12
# LaBe2Al, optimized geometry, DFT GGA-PBE
data_LaBe2Al
_chemical_formula_sum 'La1 Be2 Al1'
_symmetry_space_group_name_H-M 'P 1 m 1'
_symmetry_Int_Tables_number 6
_cell_length_a 3.896
_cell_length_b 3.849
_cell_length_c 5.361
_cell_angle_alpha 90.00
_cell_angle_beta 110.82
_cell_angle_gamma 90.00
loop_
_symmetry_equiv_pos_as_xyz
'x,y,z'
'x,-y,z'
loop_
_atom_site_label
_atom_site_type_symbol
_atom_site_fract_x
_atom_site_fract_y
_atom_site_fract_z
_atom_site_occupancy
La1 La 0.000 0.000 0.000 1
Be1 Be 0.641 0.500 0.281 1
Be2 Be 0.703 0.000 0.424 1
Al1 Al 0.273 0.500 0.549 1
# - total energy (eV for the cell shown) = -15.97
# - energy of formation (meV/atom) = 37.0

Record 13
# SrSb2Pd5, optimized geometry, DFT GGA-PBE
data_SrSb2Pd5
_chemical_formula_sum 'Sr2 Sb4 Pd10'
_symmetry_space_group_name_H-M 'I m m m'
_symmetry_Int_Tables_number 71
_symmetry_space_group_name_Hall '-I 2 2'
_cell_length_a 4.192
_cell_length_b 7.439
_cell_length_c 10.582
_cell_angle_alpha 90.00
_cell_angle_beta 90.00
_cell_angle_gamma 90.00
loop_
_atom_site_label
_atom_site_type_symbol
_atom_site_fract_x
_atom_site_fract_y
_atom_site_fract_z
_atom_site_occupancy
Sr1 Sr 0.000 0.000 0.000 1
Sb1 Sb 0.000 0.500 0.245 1
Pd1 Pd 0.000 0.190 0.361 1
Pd2 Pd 0.000 0.500 0.000 1
# - energy relative to the elements, uncorrected (eV per atom) = -0.556
# - total energy (eV for the cell shown) = -80.68

Record 14
# RbAuBr2F, optimized geometry, DFT GGA-PBE
data_RbAuBr2F
_chemical_formula_sum 'Rb1 Au1 Br2 F1'
_symmetry_space_group_name_H-M 'P 4/m m m'
_symmetry_Int_Tables_number 123
_symmetry_space_group_name_Hall '-P 4 2'
_cell_length_a 5.409
_cell_length_b 5.409
_cell_length_c 4.605
_cell_angle_alpha 90.00
_cell_angle_beta 90.00
_cell_angle_gamma 90.00
loop_
_atom_site_label
_atom_site_type_symbol
_atom_site_fract_x
_atom_site_fract_y
_atom_site_fract_z
_atom_site_occupancy
Rb1 Rb 0.000 0.000 0.000 1
Au1 Au 0.500 0.500 0.500 1
Br1 Br 0.000 0.500 0.500 1
F1 F 0.500 0.500 0.000 1
# - energy relative to the elements, uncorrected (eV per atom) = -1.050
# - total energy (eV for the cell shown) = -14.71

Record 15
# MnNbOs, optimized geometry, DFT GGA-PBE
data_MnNbOs
_chemical_formula_sum 'Mn4 Nb4 Os4'
_symmetry_space_group_name_H-M 'C m c m'
_symmetry_Int_Tables_number 63
_symmetry_space_group_name_Hall '-C 2c 2'
_cell_length_a 4.230
_cell_length_b 12.747
_cell_length_c 3.315
_cell_angle_alpha 90.00
_cell_angle_beta 90.00
_cell_angle_gamma 90.00
loop_
_atom_site_label
_atom_site_type_symbol
_atom_site_fract_x
_atom_site_fract_y
_atom_site_fract_z
_atom_site_occupancy
Mn1 Mn 0.000 0.249 0.250 1
Nb1 Nb 0.000 0.410 0.750 1
Os1 Os 0.000 0.093 0.750 1
# - offset from the most stable computed form (eV/atom) = 0.186
# - total energy (eV for the cell shown) = -121.54
# - energy of formation (meV/atom) = 28.4

Record 16
# Tb2Dy3ErSb6, optimized geometry, DFT GGA-PBE
data_Tb2Dy3ErSb6
_chemical_formula_sum 'Tb4 Dy6 Er2 Sb12'
_symmetry_space_group_name_H-M 'C 1 2/m 1'
_symmetry_Int_Tables_number 12
_cell_length_a 19.104
_cell_length_b 4.383
_cell_length_c 8.767
_cell_angle_alpha 90.00
_cell_angle_beta 103.21
_cell_angle_gamma 90.00
loop_
_symmetry_equiv_pos_as_xyz
'x,y,z'
'-x,-y,-z'
'-x,y,-z'
'x,-y,z'
'x+1/2,y+1/2,z'
'-x+1/2,-y+1/2,-z'
'-x+1/2,y+1/2,-z'
'x+1/2,-y+1/2,z'
loop_
_atom_site_label
_atom_site_type_symbol
_atom_site_fract_x
_atom_site_fract_y
_atom_site_fract_z
_atom_site_occupancy
Tb1 Tb 0.166 0.000 0.333 1
Dy1 Dy 0.000 0.500 0.500 1
Dy2 Dy 0.167 0.000 0.834 1
Er1 Er 0.000 0.500 0.000 1
Sb1 Sb 0.001 0.000 0.752 1
Sb2 Sb 0.166 0.500 0.082 1
Sb3 Sb 0.166 0.500 0.584 1
# - energy relative to the elements, uncorrected (eV per atom) = -1.131
# - total energy (eV for the cell shown) = -131.88

Record 17
# Nd3Y5Tm, optimized geometry, DFT GGA-PBE
data_Nd3Y5Tm
_chemical_formula_sum 'Nd6 Y10 Tm2'
_symmetry_space_group_name_H-M 'P 63/m c m'
_symmetry_Int_Tables_number 193
_symmetry_space_group_name_Hall '-P 6c 2'
_cell_length_a 9.8326
_cell_length_b 9.8326
_cell_length_c 7.1033
_cell_angle_alpha 90.00
_cell_angle_beta 90.00
_cell_angle_gamma 120.00
loop_
_atom_site_label
_atom_site_type_symbol
_atom_site_fract_x
_atom_site_fract_y
_atom_site_fract_z
_atom_site_occupancy
Nd1 Nd 0.0000 0.3619 0.2500 1
Y1 Y 0.0000 0.3025 0.7500 1
Y2 Y 0.3333 0.6667 0.0000 1
Tm1 Tm 0.0000 0.0000 0.0000 1
# - total energy (eV for the cell shown) = -101.41
# - energy of formation (meV/atom) = 43.6

Record 18
# TiNbTe, optimized geometry, DFT GGA-PBE
data_TiNbTe
_chemical_formula_sum 'Ti2 Nb2 Te2'
_symmetry_space_group_name_H-M 'P 1 m 1'
_symmetry_Int_Tables_number 6
_cell_length_a 4.632
_cell_length_b 3.570
_cell_length_c 7.176
_cell_angle_alpha 90.00
_cell_angle_beta 102.81
_cell_angle_gamma 90.00
loop_
_symmetry_equiv_pos_as_xyz
'x,y,z'
'x,-y,z'
loop_
_atom_site_label
_atom_site_type_symbol
_atom_site_fract_x
_atom_site_fract_y
_atom_site_fract_z
_atom_site_occupancy
Ti1 Ti 0.000 0.000 0.000 1
Ti2 Ti 0.359 0.000 0.647 1
Nb1 Nb 0.491 0.500 0.973 1
Nb2 Nb 0.720 0.000 0.284 1
Te1 Te 0.218 0.500 0.310 1
Te2 Te 0.876 0.500 0.691 1
# - offset from the most stable computed form (eV/atom) = 0.145
# - energy relative to the elements, uncorrected (eV per atom) = -0.221
# - total energy (eV for the cell shown) = -43.54

Record 19
# LuScZnTc, optimized geometry, DFT GGA-PBE
data_LuScZnTc
_chemical_formula_sum 'Lu4 Sc4 Zn4 Tc4'
_symmetry_space_group_name_H-M 'F -4 3 m'
_symmetry_Int_Tables_number 216
_symmetry_space_group_name_Hall 'F -4 2 3'
_cell_length_a 6.699
_cell_length_b 6.699
_cell_length_c 6.699
_cell_angle_alpha 90.00
_cell_angle_beta 90.00
_cell_angle_gamma 90.00
loop_
_atom_site_label
_atom_site_type_symbol
_atom_site_fract_x
_atom_site_fract_y
_atom_site_fract_z
_atom_site_occupancy
Lu1 Lu 0.000 0.000 0.000 1
Sc1 Sc 0.000 0.000 0.500 1
Zn1 Zn 0.250 0.250 0.250 1
Tc1 Tc 0.250 0.250 0.750 1
# - total energy (eV for the cell shown) = -93.83
# - energy of formation (meV/atom) = -241.1

Record 20
# PuZrZnO6, optimized geometry, DFT GGA-PBE
data_PuZrZnO6
_chemical_formula_sum 'Pu2 Zr2 Zn2 O12'
_symmetry_space_group_name_H-M 'P -3 1 c'
_symmetry_Int_Tables_number 163
_symmetry_space_group_name_Hall '-P 3 2c'
_cell_length_a 5.5291
_cell_length_b 5.5291
_cell_length_c 8.9536
_cell_angle_alpha 90.00
_cell_angle_beta 90.00
_cell_angle_gamma 120.00
loop_
_atom_site_label
_atom_site_type_symbol
_atom_site_fract_x
_atom_site_fract_y
_atom_site_fract_z
_atom_site_occupancy
Pu1 Pu 0.3333 0.6667 0.2500 1
Zr1 Zr 0.3333 0.6667 0.7500 1
Zn1 Zn 0.0000 0.0000 0.0000 1
O1 O 0.0072 0.3474 0.1316 1
# - energy relative to the elements, uncorrected (eV per atom) = -2.356
# - total energy (eV for the cell shown) = -150.22